Compound: CaYSn2Ru
Source: Alexandria via LeMat-Bulk
Functional: PBE
Structure: optimized geometry

a = 5.204 Å, b = 5.097 Å, c = 5.204 Å
α = 90.00°, β = 90.00°, γ = 90.00°
Sites, in units of the cell vectors:
Sn 0.500 0.000 0.000
Sn 0.000 0.000 0.500
Ru 0.000 0.000 0.000
Y 0.500 0.500 0.500
Ca 0.000 0.500 0.000

Calculated values
Energy relative to the elements ... -44 meV per atom
DOS(E_F) ... 5.92 states/eV/f.u.